Entry 1:
Below is an optimized crystal structure of CoAg2PdW, with properties calculated at the PBE-GGA level.

ΔE_f: 1.248 eV per atom
Crystal system: tetragonal
Total magnetic moment: 0.771 μB per cell
Symmetry: P4/mmm (123)

```
CoAg2PdW
1.0
4.7222 0.0000 0.0000
0.0000 4.7222 0.0000
0.0000 0.0000 4.2954
Co Ag Pd W
1 2 1 1
direct
0.0000 0.0000 0.0000
0.0000 0.5000 0.0000
0.5000 0.0000 0.0000
0.5000 0.5000 0.5000
0.0000 0.0000 0.5000
```

Entry 2:
Below is an optimized crystal structure of CaMnRe, with properties calculated at the PBE-GGA level.

ΔE_f: 0.427 eV per atom
Energy relative to the lowest polymorph listed for this composition: 0.000 eV/atom
Crystal system: tetragonal
Total magnetic moment: 1.587 μB per cell
Symmetry: I4mm (107)

```
CaMnRe
1.0
-1.5403 1.5403 5.8449
1.5403 -1.5403 5.8449
1.5403 1.5403 -5.8449
Ca Mn Re
1 1 1
direct
0.0000 0.0000 0.0000
0.2961 0.2961 0.0000
0.7018 0.7018 0.0000
```

Entry 3:
Below is an optimized crystal structure of La2ScCrSe6, with properties calculated at the PBE-GGA level.

Crystal system: monoclinic
Total magnetic moment: 6.012 μB per cell
Calculated total energy: -6.2434 eV/atom
Symmetry: P2_1/c (14)

```
La2ScCrSe6
1.0
6.7232 0.0000 0.0000
0.0000 7.4494 0.0000
-6.5396 0.0000 9.8877
La Sc Cr Se
4 2 2 12
direct
0.2051 0.1047 0.2474
0.2051 0.3953 0.7474
0.7949 0.6047 0.2526
0.7949 0.8953 0.7526
0.5000 0.0000 0.0000
0.5000 0.5000 0.5000
0.0000 0.0000 0.5000
0.0000 0.5000 0.0000
0.1162 0.1937 0.9467
0.1162 0.3063 0.4467
0.2650 0.6808 0.9474
0.2650 0.8192 0.4474
0.3568 0.0209 0.7418
0.3568 0.4791 0.2418
0.6432 0.5209 0.7582
0.6432 0.9791 0.2582
0.7350 0.1808 0.5526
0.7350 0.3192 0.0526
0.8838 0.6937 0.5533
0.8838 0.8063 0.0533
```